{
  "formula": "La3Ce2Ru2",
  "functional": "PBE",
  "state": "optimized geometry",
  "lattice_angstrom": [[6.2513, -1.9423, 0.0000], [6.2513, 1.9423, 0.0000], [-2.8640, 0.0000, 8.2177]],
  "species": ["La", "La", "La", "Ce", "Ce", "Ru", "Ru"],
  "fractional_positions": [[0.0000, 0.0000, 0.0000], [0.1281, 0.1281, 0.4360], [0.8719, 0.8719, 0.5640], [0.3226, 0.3226, 0.1910], [0.6774, 0.6774, 0.8090], [0.3134, 0.3134, 0.8201], [0.6866, 0.6866, 0.1799]],
  "e_tot_ev_per_atom": -6.71,
  "space_group": "No. 12",
  "magmom_total_mub_per_fu": 0.00
}



{
  "formula": "Ag5Hg12Te3",
  "functional": "PBE",
  "state": "optimized geometry",
  "lattice_angstrom": [[-8.5648, 8.5648, 8.5648], [8.5648, -8.5648, 8.5648], [8.5648, 8.5648, -8.5648]],
  "species": ["Ag", "Ag", "Ag", "Ag", "Ag", "Ag", "Ag", "Ag", "Ag", "Ag", "Ag", "Ag", "Ag", "Ag", "Ag", "Ag", "Ag", "Ag", "Ag", "Ag", "Hg", "Hg", "Hg", "Hg", "Hg", "Hg", "Hg", "Hg", "Hg", "Hg", "Hg", "Hg", "Hg", "Hg", "Hg", "Hg", "Hg", "Hg", "Hg", "Hg", "Hg", "Hg", "Hg", "Hg", "Hg", "Hg", "Hg", "Hg", "Hg", "Hg", "Hg", "Hg", "Hg", "Hg", "Hg", "Hg", "Hg", "Hg", "Hg", "Hg", "Hg", "Hg", "Hg", "Hg", "Hg", "Hg", "Hg", "Hg", "Te", "Te", "Te", "Te", "Te", "Te", "Te", "Te", "Te", "Te", "Te", "Te"],
  "fractional_positions": [[0.0000, 0.0000, 0.0000], [0.0000, 0.0000, 0.5000], [0.0000, 0.5000, 0.0000], [0.0000, 0.5000, 0.5000], [0.1250, 0.7500, 0.8750], [0.1250, 0.8750, 0.2500], [0.2500, 0.1250, 0.8750], [0.2500, 0.6250, 0.3750], [0.3750, 0.2500, 0.6250], [0.3750, 0.6250, 0.7500], [0.5000, 0.0000, 0.0000], [0.5000, 0.0000, 0.5000], [0.5000, 0.5000, 0.0000], [0.5000, 0.5000, 0.5000], [0.6250, 0.3750, 0.2500], [0.6250, 0.7500, 0.3750], [0.7500, 0.3750, 0.6250], [0.7500, 0.8750, 0.1250], [0.8750, 0.1250, 0.7500], [0.8750, 0.2500, 0.1250], [0.0472, 0.2196, 0.1184], [0.0472, 0.3276, 0.9288], [0.0712, 0.6184, 0.3988], [0.0712, 0.9528, 0.6724], [0.1012, 0.7196, 0.6724], [0.1012, 0.8816, 0.4288], [0.1184, 0.0472, 0.2196], [0.1184, 0.5712, 0.8988], [0.1724, 0.2196, 0.6012], [0.1724, 0.4528, 0.5712], [0.2196, 0.1184, 0.0472], [0.2196, 0.6012, 0.1724], [0.2804, 0.3276, 0.8988], [0.2804, 0.4528, 0.3816], [0.3276, 0.8988, 0.2804], [0.3276, 0.9288, 0.0472], [0.3816, 0.2804, 0.4528], [0.3816, 0.6012, 0.9288], [0.3988, 0.0712, 0.6184], [0.3988, 0.8276, 0.7804], [0.4288, 0.1012, 0.8816], [0.4288, 0.8276, 0.5472], [0.4528, 0.3816, 0.2804], [0.4528, 0.5712, 0.1724], [0.5472, 0.4288, 0.8276], [0.5472, 0.6184, 0.7196], [0.5712, 0.1724, 0.4528], [0.5712, 0.8988, 0.1184], [0.6012, 0.1724, 0.2196], [0.6012, 0.9288, 0.3816], [0.6184, 0.3988, 0.0712], [0.6184, 0.7196, 0.5472], [0.6724, 0.0712, 0.9528], [0.6724, 0.1012, 0.7196], [0.7196, 0.5472, 0.6184], [0.7196, 0.6724, 0.1012], [0.7804, 0.3988, 0.8276], [0.7804, 0.8816, 0.9528], [0.8276, 0.5472, 0.4288], [0.8276, 0.7804, 0.3988], [0.8816, 0.4288, 0.1012], [0.8816, 0.9528, 0.7804], [0.8988, 0.1184, 0.5712], [0.8988, 0.2804, 0.3276], [0.9288, 0.0472, 0.3276], [0.9288, 0.3816, 0.6012], [0.9528, 0.6724, 0.0712], [0.9528, 0.7804, 0.8816], [0.1250, 0.2500, 0.3750], [0.1250, 0.3750, 0.7500], [0.2500, 0.3750, 0.1250], [0.2500, 0.8750, 0.6250], [0.3750, 0.1250, 0.2500], [0.3750, 0.7500, 0.1250], [0.6250, 0.2500, 0.8750], [0.6250, 0.8750, 0.7500], [0.7500, 0.1250, 0.3750], [0.7500, 0.6250, 0.8750], [0.8750, 0.6250, 0.2500], [0.8750, 0.7500, 0.6250]],
  "formation_energy_uncorrected_ev_per_atom": 0.17,
  "e_tot_ev_per_atom": -1.20,
  "space_group": "No. 230",
  "magmom_total_mub_per_fu": 0.00
}



{
  "formula": "CrIrOs2",
  "functional": "PBE",
  "state": "optimized geometry",
  "lattice_angstrom": [[2.7080, 0.0000, 0.0000], [0.0000, 2.7080, 0.0000], [0.0000, 0.0000, 7.5265]],
  "species": ["Cr", "Ir", "Os", "Os"],
  "fractional_positions": [[0.0000, 0.0000, 0.0000], [0.0000, 0.0000, 0.5000], [0.5000, 0.5000, 0.2382], [0.5000, 0.5000, 0.7618]],
  "e_tot_ev_per_atom": -10.16,
  "space_group": "No. 123",
  "magmom_total_mub_per_fu": 0.00
}